(1)
# PBE+U PmScFe2O6, relaxed
# Crystal system: triclinic
# DFT total energy, eV/cell: -75.63
data_PmScFe2O6
_cell_length_a 5.357
_cell_length_b 5.409
_cell_length_c 5.546
_cell_angle_alpha 118.73
_cell_angle_beta 90.04
_cell_angle_gamma 119.01
_symmetry_space_group_name_H-M 'P 1'
_symmetry_Int_Tables_number 1
_symmetry_space_group_name_Hall 'P 1'
loop_
_atom_site_label
_atom_site_fract_x
_atom_site_fract_y
_atom_site_fract_z
_atom_site_occupancy
Pm1 0.000 0.000 0.000 1
Sc1 0.475 0.956 0.441 1
Fe1 0.261 0.526 0.803 1
Fe2 0.767 0.539 0.316 1
O1 0.050 0.658 0.098 1
O2 0.148 0.688 0.590 1
O3 0.432 0.485 0.093 1
O4 0.526 0.427 0.584 1
O5 0.614 0.056 0.114 1
O6 0.879 0.028 0.584 1

---

(2)
# PBE+U Ni2HgAsO6, relaxed
# Crystal system: trigonal
# DFT total energy, eV/cell: -144.50
data_Ni2HgAsO6
_cell_length_a 5.1997
_cell_length_b 5.1997
_cell_length_c 14.1973
_cell_angle_alpha 90.00
_cell_angle_beta 90.00
_cell_angle_gamma 120.00
_symmetry_space_group_name_H-M 'R 3'
_symmetry_Int_Tables_number 146
_symmetry_space_group_name_Hall 'R 3'
loop_
_atom_site_label
_atom_site_fract_x
_atom_site_fract_y
_atom_site_fract_z
_atom_site_occupancy
Ni1 0.0000 0.0000 0.0000 1
Ni2 0.0000 0.0000 0.4817 1
Hg1 0.0000 0.0000 0.2196 1
As1 0.0000 0.0000 0.6842 1
O1 0.0083 0.3188 0.7455 1
O2 0.0332 0.6095 0.2612 1